Record 1
Density functional theory data (PBE) for a relaxed structure of LiPmSm2.

The structure in CIF format:
```
data_LiPmSm2
_chemical_formula_sum 'Li1 Pm1 Sm2'
_space_group_name_H-M_alt 'P 1'
_space_group_IT_number 1
_cell_length_a 5.601
_cell_length_b 5.601
_cell_length_c 5.601
_cell_angle_alpha 60.00
_cell_angle_beta 60.00
_cell_angle_gamma 60.00
loop_
_space_group_symop_operation_xyz
'x,y,z'
loop_
_atom_site_label
_atom_site_fract_x
_atom_site_fract_y
_atom_site_fract_z
Li1 0.000 0.000 0.000
Pm1 0.500 0.500 0.500
Sm1 0.250 0.250 0.250
Sm2 0.750 0.750 0.750
```

Values from the calculation:
The crystal system is cubic. As for the density of states at the Fermi level: 1.26 states/eV per atom. As for the excess energy over the best structure of this formula in the dataset: 123 meV/atom. As for the calculated density: 6.05 g/cm3.

=====

Record 2
Density functional theory data (PBE) for a relaxed structure of Li2PmSm.

The structure in CIF format:
```
data_Li2PmSm
_chemical_formula_sum 'Li2 Pm1 Sm1'
_space_group_name_H-M_alt 'P 1'
_space_group_IT_number 1
_cell_length_a 3.792
_cell_length_b 3.792
_cell_length_c 7.597
_cell_angle_alpha 90.00
_cell_angle_beta 90.00
_cell_angle_gamma 90.00
loop_
_space_group_symop_operation_xyz
'x,y,z'
loop_
_atom_site_label
_atom_site_fract_x
_atom_site_fract_y
_atom_site_fract_z
Li1 0.000 0.000 0.249
Li2 0.000 0.000 0.751
Pm1 0.500 0.500 0.500
Sm1 0.500 0.500 0.000
```

Values from the calculation:
The crystal system is tetragonal. As for the density of states at the Fermi level: 1.55 states/eV per atom. The value obtained for the energy is -12.68 eV/cell. As for the calculated density: 4.70 g/cm3.

=====

What is the formula in the first record?
LiPmSm2

=====

Number 1 is which compound?
LiPmSm2

=====

Which value of calculated density does entry 2 give?
4.70 g/cm3

=====

Copy entry 2 word for word.
Density functional theory data (PBE) for a relaxed structure of Li2PmSm.

The structure in CIF format:
```
data_Li2PmSm
_chemical_formula_sum 'Li2 Pm1 Sm1'
_space_group_name_H-M_alt 'P 1'
_space_group_IT_number 1
_cell_length_a 3.792
_cell_length_b 3.792
_cell_length_c 7.597
_cell_angle_alpha 90.00
_cell_angle_beta 90.00
_cell_angle_gamma 90.00
loop_
_space_group_symop_operation_xyz
'x,y,z'
loop_
_atom_site_label
_atom_site_fract_x
_atom_site_fract_y
_atom_site_fract_z
Li1 0.000 0.000 0.249
Li2 0.000 0.000 0.751
Pm1 0.500 0.500 0.500
Sm1 0.500 0.500 0.000
```

Values from the calculation:
The crystal system is tetragonal. As for the density of states at the Fermi level: 1.55 states/eV per atom. The value obtained for the energy is -12.68 eV/cell. As for the calculated density: 4.70 g/cm3.